1.
# BaLaCu2Sb2 (PBE, relaxed)
data_BaLaCu2Sb2
_cell_length_a 4.5222
_cell_length_b 4.5222
_cell_length_c 9.2408
_cell_angle_alpha 90.00
_cell_angle_beta 90.00
_cell_angle_gamma 120.00
_space_group_name_H-M_alt 'P 1'
_space_group_IT_number 1
_space_group_name_Hall 'P 1'
loop_
_atom_site_label
_atom_site_type_symbol
_atom_site_fract_x
_atom_site_fract_y
_atom_site_fract_z
_atom_site_occupancy
Ba1 Ba 0.0000 0.0000 0.0000 1
La1 La 0.0000 0.0000 0.5000 1
Cu1 Cu 0.3333 0.6667 0.7084 1
Cu2 Cu 0.6667 0.3333 0.2916 1
Sb1 Sb 0.3333 0.6667 0.2654 1
Sb2 Sb 0.6667 0.3333 0.7346 1
# M_tot ... 0.00 μB per cell
# DOS(E_F) ... 3.8 states/eV/f.u.
# Space group ... No. 164
# Formation energy (no corrections) ... -747.7 meV/atom

***

2.
# Ba2LaCuSe (PBE, relaxed)
data_Ba2LaCuSe
_cell_length_a 6.1982
_cell_length_b 6.1982
_cell_length_c 5.3317
_cell_angle_alpha 90.00
_cell_angle_beta 90.00
_cell_angle_gamma 90.00
_space_group_name_H-M_alt 'P 1'
_space_group_IT_number 1
_space_group_name_Hall 'P 1'
loop_
_atom_site_label
_atom_site_type_symbol
_atom_site_fract_x
_atom_site_fract_y
_atom_site_fract_z
_atom_site_occupancy
Ba1 Ba 0.0000 0.5000 0.0000 1
Ba2 Ba 0.5000 0.0000 0.0000 1
La1 La 0.0000 0.0000 0.5000 1
Cu1 Cu 0.0000 0.0000 0.0000 1
Se1 Se 0.5000 0.5000 0.5000 1
# M_tot ... 0.00 μB per cell
# DOS(E_F) ... 5.2 states/eV/f.u.
# Space group ... No. 123
# Formation energy (no corrections) ... -218.7 meV/atom

***

3.
# BaLaCuSe3 (PBE, relaxed)
data_BaLaCuSe3
_cell_length_a 11.2811
_cell_length_b 4.3075
_cell_length_c 14.0906
_cell_angle_alpha 90.00
_cell_angle_beta 90.00
_cell_angle_gamma 90.00
_space_group_name_H-M_alt 'P 1'
_space_group_IT_number 1
_space_group_name_Hall 'P 1'
loop_
_atom_site_label
_atom_site_type_symbol
_atom_site_fract_x
_atom_site_fract_y
_atom_site_fract_z
_atom_site_occupancy
Ba1 Ba 0.2216 0.2500 0.0034 1
Ba2 Ba 0.2784 0.7500 0.5034 1
Ba3 Ba 0.7216 0.2500 0.4966 1
Ba4 Ba 0.7784 0.7500 0.9966 1
La1 La 0.0155 0.7500 0.2615 1
La2 La 0.4845 0.2500 0.7615 1
La3 La 0.5155 0.7500 0.2385 1
La4 La 0.9845 0.2500 0.7385 1
Cu1 Cu 0.2359 0.7500 0.7805 1
Cu2 Cu 0.2641 0.2500 0.2805 1
Cu3 Cu 0.7359 0.7500 0.7195 1
Cu4 Cu 0.7641 0.2500 0.2195 1
Se1 Se 0.0532 0.7500 0.8795 1
Se2 Se 0.0966 0.2500 0.3937 1
Se3 Se 0.2397 0.2500 0.6801 1
Se4 Se 0.2603 0.7500 0.1801 1
Se5 Se 0.4034 0.7500 0.8937 1
Se6 Se 0.4468 0.2500 0.3795 1
Se7 Se 0.5532 0.7500 0.6205 1
Se8 Se 0.5966 0.2500 0.1063 1
Se9 Se 0.7397 0.2500 0.8199 1
Se10 Se 0.7603 0.7500 0.3199 1
Se11 Se 0.9034 0.7500 0.6063 1
Se12 Se 0.9468 0.2500 0.1205 1
# M_tot ... 0.00 μB per cell
# Space group ... No. 62
# Formation energy (no corrections) ... -1628.3 meV/atom

***

4.
# BaLaCu2Si2 (PBE, relaxed)
data_BaLaCu2Si2
_cell_length_a 4.2199
_cell_length_b 4.2199
_cell_length_c 9.1628
_cell_angle_alpha 90.00
_cell_angle_beta 90.00
_cell_angle_gamma 120.00
_space_group_name_H-M_alt 'P 1'
_space_group_IT_number 1
_space_group_name_Hall 'P 1'
loop_
_atom_site_label
_atom_site_type_symbol
_atom_site_fract_x
_atom_site_fract_y
_atom_site_fract_z
_atom_site_occupancy
Ba1 Ba 0.0000 0.0000 0.0000 1
La1 La 0.0000 0.0000 0.5000 1
Cu1 Cu 0.3333 0.6667 0.7288 1
Cu2 Cu 0.6667 0.3333 0.2712 1
Si1 Si 0.3333 0.6667 0.2732 1
Si2 Si 0.6667 0.3333 0.7268 1
# M_tot ... 0.00 μB per cell
# DOS(E_F) ... 3.7 states/eV/f.u.
# Space group ... No. 164
# Formation energy (no corrections) ... -445.2 meV/atom

***

no.,mass density (g cm⁻³)
1,6.56
2,4.51
3,5.59
4,5.40